# RbTa2C

Crystalline RbTa2C at its relaxed geometry (GGA-PBE, Alexandria).

Values from the calculation:
The space-group type is Fm-3m, No. 225. For the calculated total energy, the calculation gives -23.05 eV/cell. For the spin magnetization, the calculation gives 0.00 Bohr magnetons per cell.

Cell lengths 4.5038, 4.5038, 4.5038 Å; angles 60.00, 60.00, 60.00 degrees
Positions (direct):
C 0.0000 0.0000 0.0000
Rb 0.5000 0.5000 0.5000
Ta 0.2500 0.2500 0.2500
Ta 0.7500 0.7500 0.7500



# NbIrCI

Crystalline NbIrCI at its relaxed geometry (GGA-PBE, Alexandria).

Values from the calculation:
The space-group type is Imm2, No. 44. For the calculated total energy, the calculation gives -57.23 eV/cell. As for the raw formation energy: 272 meV per atom. For the spin magnetization, the calculation gives 0.00 Bohr magnetons per cell.

Cell lengths 3.8357, 3.4542, 14.0261 Å; angles 90.00, 90.00, 90.00 degrees
Positions (direct):
I 0.0000 0.5000 0.1387
I 0.5000 0.0000 0.6387
Nb 0.0000 0.0000 0.3036
Nb 0.5000 0.5000 0.8036
Ir 0.0000 0.0000 0.8849
Ir 0.5000 0.5000 0.3849
C 0.0000 0.5000 0.3984
C 0.5000 0.0000 0.8984



# SrCo4Ni

Crystalline SrCo4Ni at its relaxed geometry (GGA-PBE, Alexandria).

Values from the calculation:
The space-group type is F-43m, No. 216. For the calculated total energy, the calculation gives -33.50 eV/cell. For the spin magnetization, the calculation gives 7.18 Bohr magnetons per cell.

Cell lengths 4.9761, 4.9761, 4.9761 Å; angles 60.00, 60.00, 60.00 degrees
Positions (direct):
Sr 0.0000 0.0000 0.0000
Co 0.8708 0.3764 0.3764
Co 0.3764 0.3764 0.8708
Co 0.3764 0.8708 0.3764
Co 0.3764 0.3764 0.3764
Ni 0.7500 0.7500 0.7500



# CoPt2Br

Crystalline CoPt2Br at its relaxed geometry (GGA-PBE, Alexandria).

Values from the calculation:
The space-group type is Cmmm, No. 65. For the calculated total energy, the calculation gives -19.28 eV/cell. As for the raw formation energy: 395 meV per atom. For the spin magnetization, the calculation gives 2.89 Bohr magnetons per cell.

Cell lengths 2.7434, 2.7434, 11.3150 Å; angles 90.00, 90.00, 118.31 degrees
Positions (direct):
Br 0.5000 0.5000 0.2500
Co 0.5000 0.5000 0.7500
Pt 0.0000 0.0000 0.9387
Pt 0.0000 0.0000 0.5613



Copy entry 3 word for word.
# SrCo4Ni

Crystalline SrCo4Ni at its relaxed geometry (GGA-PBE, Alexandria).

Values from the calculation:
The space-group type is F-43m, No. 216. For the calculated total energy, the calculation gives -33.50 eV/cell. For the spin magnetization, the calculation gives 7.18 Bohr magnetons per cell.

Cell lengths 4.9761, 4.9761, 4.9761 Å; angles 60.00, 60.00, 60.00 degrees
Positions (direct):
Sr 0.0000 0.0000 0.0000
Co 0.8708 0.3764 0.3764
Co 0.3764 0.3764 0.8708
Co 0.3764 0.8708 0.3764
Co 0.3764 0.3764 0.3764
Ni 0.7500 0.7500 0.7500



Q: What is the formula in the first record?
A: RbTa2C



Copy entry 2 word for word.
# NbIrCI

Crystalline NbIrCI at its relaxed geometry (GGA-PBE, Alexandria).

Values from the calculation:
The space-group type is Imm2, No. 44. For the calculated total energy, the calculation gives -57.23 eV/cell. As for the raw formation energy: 272 meV per atom. For the spin magnetization, the calculation gives 0.00 Bohr magnetons per cell.

Cell lengths 3.8357, 3.4542, 14.0261 Å; angles 90.00, 90.00, 90.00 degrees
Positions (direct):
I 0.0000 0.5000 0.1387
I 0.5000 0.0000 0.6387
Nb 0.0000 0.0000 0.3036
Nb 0.5000 0.5000 0.8036
Ir 0.0000 0.0000 0.8849
Ir 0.5000 0.5000 0.3849
C 0.0000 0.5000 0.3984
C 0.5000 0.0000 0.8984